DFT (PBE) results for a relaxed structure of Ba6Br3N2Cl.

POSCAR file:
```
Ba6Br3N2Cl
1.0
-4.889 -5.572 0.853
5.136 1.294 5.256
-5.059 6.359 1.602
Ba Br N Cl
6 3 2 1
Direct
0.933 0.565 0.801
0.698 0.698 0.196
0.067 0.435 0.199
0.565 0.933 0.801
0.302 0.302 0.804
0.435 0.067 0.199
0.158 0.842 0.500
0.842 0.158 0.500
0.500 0.500 0.500
0.332 0.668 0.000
0.668 0.332 0.000
0.000 0.000 0.000
```

## Properties
* space-group type: C2/m (12)
* formation energy without anion corrections: -1.342 eV per atom